Entry 1:
Entry from the Alexandria database: an optimized crystal structure of CeUPN (PBE-GGA).

Cell: 3.9505 3.9505 9.4007 Å, 90.00 90.00 90.00°
Fractional coordinates of all 8 atoms:
Ce: 0.2500 0.7500 0.0000
Ce: 0.7500 0.2500 0.0000
U: 0.2500 0.2500 0.3802
U: 0.7500 0.7500 0.6198
P: 0.2500 0.2500 0.7722
P: 0.7500 0.7500 0.2278
N: 0.2500 0.7500 0.5000
N: 0.7500 0.2500 0.5000

Summary:
Magnetic moment, μB/f.u.: 1.9
Formation energy without anion corrections, eV per atom: -1.012



Entry 2:
Entry from the Alexandria database: an optimized crystal structure of PrTlCd (PBE-GGA).

Cell: 5.0408 5.0408 7.5772 Å, 90.00 90.00 120.00°
Fractional coordinates of all 6 atoms:
Pr: 0.0000 0.0000 0.0000
Pr: 0.0000 0.0000 0.5000
Tl: 0.3333 0.6667 0.2500
Tl: 0.6667 0.3333 0.7500
Cd: 0.3333 0.6667 0.7500
Cd: 0.6667 0.3333 0.2500

Summary:
Magnetic moment, μB/f.u.: 0.0
E_form, eV per formula unit: -1.007



Entry 3:
Entry from the Alexandria database: an optimized crystal structure of CeCd2P2Pt7 (PBE-GGA).

Cell: 4.0097 4.0097 14.1301 Å, 95.58 95.58 90.00°
Fractional coordinates of all 12 atoms:
Ce: 0.0000 0.0000 0.0000
Cd: 0.0944 0.0944 0.4052
Cd: 0.9056 0.9056 0.5948
P: 0.4159 0.4159 0.7443
P: 0.5841 0.5841 0.2557
Pt: 0.0533 0.5539 0.1622
Pt: 0.4057 0.4057 0.5841
Pt: 0.4461 0.9467 0.8378
Pt: 0.5000 0.5000 0.0000
Pt: 0.5539 0.0533 0.1622
Pt: 0.5943 0.5943 0.4158
Pt: 0.9467 0.4461 0.8378

Summary:
Magnetic moment, μB/f.u.: 0.2
E_form, eV per formula unit: -6.814



Entry 4:
Entry from the Alexandria database: an optimized crystal structure of SmTh2Zn6 (PBE-GGA).

Cell: 7.9359 7.9359 3.5394 Å, 90.00 90.00 120.00°
Fractional coordinates of all 9 atoms:
Sm: 0.0000 0.0000 0.0000
Th: 0.3333 0.6667 0.0000
Th: 0.6667 0.3333 0.0000
Zn: 0.0000 0.3317 0.5000
Zn: 0.0000 0.6683 0.5000
Zn: 0.3317 0.0000 0.5000
Zn: 0.3317 0.3317 0.5000
Zn: 0.6683 0.0000 0.5000
Zn: 0.6683 0.6683 0.5000

Summary:
Magnetic moment, μB/f.u.: 0.0
E_form, eV per formula unit: -2.697



Entry 5:
Entry from the Alexandria database: an optimized crystal structure of TbSmDyHo (PBE-GGA).

Cell: 3.4421 5.6103 6.7226 Å, 90.00 90.00 90.00°
Fractional coordinates of all 4 atoms:
Tb: 0.0000 0.0000 0.0000
Sm: 0.5000 0.5000 0.7521
Dy: 0.5000 0.0000 0.4961
Ho: 0.5000 0.5000 0.2365

Summary:
Distance to the lowest polymorph of the same formula, meV per atom: 56
Magnetic moment, μB/f.u.: 0.0
E_form, eV per formula unit: 0.779



Entry 6:
Entry from the Alexandria database: an optimized crystal structure of AlHgP2O (PBE-GGA).

Cell: 5.0510 5.0510 4.0480 Å, 90.00 90.00 90.00°
Fractional coordinates of all 5 atoms:
Al: 0.0000 0.0000 0.0000
Hg: 0.5000 0.5000 0.5000
P: 0.0000 0.5000 0.5000
P: 0.5000 0.0000 0.5000
O: 0.5000 0.5000 0.0000

Summary:
Distance to the lowest polymorph of the same formula, meV per atom: 1176
Magnetic moment, μB/f.u.: 0.0
Formation energy without anion corrections, eV per atom: 1.018



Entry 7:
Entry from the Alexandria database: an optimized crystal structure of NiSb4Mo (PBE-GGA).

Cell: 6.0400 6.0400 6.0400 Å, 60.00 60.00 60.00°
Fractional coordinates of all 6 atoms:
Ni: 0.0000 0.0000 0.0000
Sb: 0.1236 0.6255 0.6255
Sb: 0.6255 0.1236 0.6255
Sb: 0.6255 0.6255 0.1236
Sb: 0.6255 0.6255 0.6255
Mo: 0.2500 0.2500 0.2500

Summary:
Magnetic moment, μB/f.u.: 3.2
Formation energy without anion corrections, eV per atom: 1.159



Entry 8:
Entry from the Alexandria database: an optimized crystal structure of CsMgHgAs (PBE-GGA).

Cell: 4.5850 4.5850 13.4685 Å, 90.00 90.00 90.00°
Fractional coordinates of all 8 atoms:
Cs: 0.2500 0.2500 0.2443
Cs: 0.7500 0.7500 0.7557
Mg: 0.2500 0.7500 0.0000
Mg: 0.7500 0.2500 0.0000
Hg: 0.2500 0.7500 0.5000
Hg: 0.7500 0.2500 0.5000
As: 0.2500 0.2500 0.8899
As: 0.7500 0.7500 0.1101

Summary:
Magnetic moment, μB/f.u.: 0.0
E_form, eV per formula unit: -2.026



Entry 9:
Entry from the Alexandria database: an optimized crystal structure of NaY2Al (PBE-GGA).

Cell: 11.6301 11.6301 11.6301 Å, 157.01 157.01 32.74°
Fractional coordinates of all 8 atoms:
Na: 0.0000 0.0000 0.0000
Na: 0.7500 0.2500 0.5000
Y: 0.1448 0.6250 0.0198
Y: 0.3750 0.3948 0.5198
Y: 0.6052 0.1250 0.9802
Y: 0.8750 0.8552 0.4802
Al: 0.2500 0.7500 0.5000
Al: 0.5000 0.5000 0.0000

Summary:
Magnetic moment, μB/f.u.: 0.0
E_form, eV per formula unit: 1.756



Entry 10:
Entry from the Alexandria database: an optimized crystal structure of Ti3PtO (PBE-GGA).

Cell: 4.1320 4.0728 8.1463 Å, 90.00 90.00 90.00°
Fractional coordinates of all 10 atoms:
Ti: 0.2500 0.0000 0.1036
Ti: 0.2500 0.0000 0.6271
Ti: 0.2500 0.5000 0.3663
Ti: 0.7500 0.0000 0.3729
Ti: 0.7500 0.0000 0.8964
Ti: 0.7500 0.5000 0.6337
Pt: 0.2500 0.5000 0.8752
Pt: 0.7500 0.5000 0.1248
O: 0.2500 0.0000 0.3616
O: 0.7500 0.0000 0.6384

Summary:
Magnetic moment, μB/f.u.: 0.4
Formation energy without anion corrections, eV per atom: -1.451



no.,total energy (eV per cell)
1,-70.0
2,-18.1
3,-67.7
4,-29.9
5,-17.8
6,-14.7
7,-26.1
8,-18.9
9,-32.5
10,-83.9